## Ac5Tl4Ge (PBE-GGA)

Data for a geometry-optimized Ac5Tl4Ge structure.

The structure in CIF format:
```
data_Ac5Tl4Ge
_cell_length_a 10.8924
_cell_length_b 10.8924
_cell_length_c 6.3948
_cell_angle_alpha 90.00
_cell_angle_beta 90.00
_cell_angle_gamma 90.00
_space_group_name_H-M_alt 'I 4'
_space_group_IT_number 79
loop_
_space_group_symop_operation_xyz
'x,y,z'
'-y,x,z'
'-x,-y,z'
'y,-x,z'
'x+1/2,y+1/2,z+1/2'
'-y+1/2,x+1/2,z+1/2'
'-x+1/2,-y+1/2,z+1/2'
'y+1/2,-x+1/2,z+1/2'
loop_
_atom_site_label
_atom_site_fract_x
_atom_site_fract_y
_atom_site_fract_z
Ac1 0.0000 0.0000 0.0000
Ac2 0.1261 0.7462 0.4990
Tl1 0.0673 0.6402 0.9987
Ge1 0.0000 0.0000 0.5002
```

E above lowest polymorph = 12.7 kJ per mole of atoms


## AcTlGe (PBE-GGA)

Data for a geometry-optimized AcTlGe structure.

The structure in CIF format:
```
data_AcTlGe
_cell_length_a 4.5057
_cell_length_b 19.4391
_cell_length_c 4.1765
_cell_angle_alpha 90.00
_cell_angle_beta 90.00
_cell_angle_gamma 90.00
_space_group_name_H-M_alt 'C m c m'
_space_group_IT_number 63
_space_group_name_Hall '-C 2c 2'
loop_
_atom_site_label
_atom_site_fract_x
_atom_site_fract_y
_atom_site_fract_z
Ac1 0.0000 0.0939 0.2500
Tl1 0.0000 0.2845 0.2500
Ge1 0.0000 0.4586 0.2500
```

E above lowest polymorph = 0.0 kJ per mole of atoms


## AcTlGe (PBE-GGA)

Data for a geometry-optimized AcTlGe structure.

The structure in CIF format:
```
data_AcTlGe
_cell_length_a 4.6128
_cell_length_b 4.6128
_cell_length_c 5.0076
_cell_angle_alpha 90.00
_cell_angle_beta 90.00
_cell_angle_gamma 120.00
_space_group_name_H-M_alt 'P 3 m 1'
_space_group_IT_number 156
loop_
_space_group_symop_operation_xyz
'x,y,z'
'-y,x-y,z'
'-x+y,-x,z'
'-y,-x,z'
'-x+y,y,z'
'x,x-y,z'
loop_
_atom_site_label
_atom_site_fract_x
_atom_site_fract_y
_atom_site_fract_z
Ac1 0.0000 0.0000 0.0000
Tl1 0.3333 0.6667 0.4292
Ge1 0.6667 0.3333 0.6546
```

E above lowest polymorph = 2.3 kJ per mole of atoms


## AcTlGe4 (PBE-GGA)

Data for a geometry-optimized AcTlGe4 structure.

The structure in CIF format:
```
data_AcTlGe4
_cell_length_a 8.2805
_cell_length_b 8.2805
_cell_length_c 8.2805
_cell_angle_alpha 90.00
_cell_angle_beta 90.00
_cell_angle_gamma 90.00
_space_group_name_H-M_alt 'F -4 3 m'
_space_group_IT_number 216
_space_group_name_Hall 'F -4 2 3'
loop_
_atom_site_label
_atom_site_fract_x
_atom_site_fract_y
_atom_site_fract_z
Ac1 0.0000 0.0000 0.0000
Tl1 0.2500 0.2500 0.7500
Ge1 0.1254 0.1254 0.3746
```


no.,formation energy (kcal/mol of atoms),size of the total moment (μB/f.u.)
1,-6.129,0.00
2,-11.297,0.00
3,-10.738,0.00
4,-4.408,0.00